The following is a PBE-GGA calculation of a geometry-optimized CeErTlBi structure, from Alexandria.

Output
Calculated volume   115.91 Å³/f.u.
E_form   -0.38 eV per atom

Geometry as CIF:
```
data_CeErTlBi
_chemical_formula_sum 'Ce4 Er4 Tl4 Bi4'
_cell_length_a 7.740
_cell_length_b 7.740
_cell_length_c 7.740
_cell_angle_alpha 90.00
_cell_angle_beta 90.00
_cell_angle_gamma 90.00
_symmetry_space_group_name_H-M 'F -4 3 m'
_symmetry_Int_Tables_number 216
_symmetry_space_group_name_Hall 'F -4 2 3'
loop_
_atom_site_label
_atom_site_type_symbol
_atom_site_fract_x
_atom_site_fract_y
_atom_site_fract_z
Ce1 Ce 0.000 0.000 0.000
Er1 Er 0.000 0.000 0.500
Tl1 Tl 0.250 0.250 0.250
Bi1 Bi 0.250 0.250 0.750
```

The following is a PBE-GGA calculation of a geometry-optimized SrAs2HSe structure, from Alexandria.

Output
Calculated volume   206.36 Å³/f.u.
Excess energy over the best structure of this formula in the dataset   1303.5 meV per atom

Geometry as CIF:
```
data_SrAs2HSe
_chemical_formula_sum 'Sr1 As2 H1 Se1'
_cell_length_a 5.951
_cell_length_b 5.951
_cell_length_c 5.827
_cell_angle_alpha 90.00
_cell_angle_beta 90.00
_cell_angle_gamma 90.00
_symmetry_space_group_name_H-M 'P 4/m m m'
_symmetry_Int_Tables_number 123
_symmetry_space_group_name_Hall '-P 4 2'
loop_
_atom_site_label
_atom_site_type_symbol
_atom_site_fract_x
_atom_site_fract_y
_atom_site_fract_z
Sr1 Sr 0.000 0.000 0.000
As1 As 0.000 0.500 0.000
H1 H 0.500 0.500 0.500
Se1 Se 0.000 0.000 0.500
```

The following is a PBE-GGA calculation of a geometry-optimized LaYNi2 structure, from Alexandria.

Output
Calculated volume   83.21 Å³/f.u.
E_form   -0.29 eV per atom
Excess energy over the best structure of this formula in the dataset   77.3 meV per atom

Geometry as CIF:
```
data_LaYNi2
_chemical_formula_sum 'La1 Y1 Ni2'
_cell_length_a 4.948
_cell_length_b 4.948
_cell_length_c 3.399
_cell_angle_alpha 90.00
_cell_angle_beta 90.00
_cell_angle_gamma 90.00
_symmetry_space_group_name_H-M 'P 4/m m m'
_symmetry_Int_Tables_number 123
_symmetry_space_group_name_Hall '-P 4 2'
loop_
_atom_site_label
_atom_site_type_symbol
_atom_site_fract_x
_atom_site_fract_y
_atom_site_fract_z
La1 La 0.000 0.000 0.000
Y1 Y 0.500 0.500 0.000
Ni1 Ni 0.000 0.500 0.500
```

The following is a PBE-GGA calculation of a geometry-optimized Ca4Cd3 structure, from Alexandria.

Output
Calculated volume   221.83 Å³/f.u.
E_form   -0.26 eV per atom

Geometry as CIF:
```
data_Ca4Cd3
_chemical_formula_sum 'Ca12 Cd9'
_cell_length_a 5.4344
_cell_length_b 5.4344
_cell_length_c 26.0198
_cell_angle_alpha 90.00
_cell_angle_beta 90.00
_cell_angle_gamma 120.00
_symmetry_space_group_name_H-M 'R -3 m'
_symmetry_Int_Tables_number 166
_symmetry_space_group_name_Hall '-R 3 2"'
loop_
_atom_site_label
_atom_site_type_symbol
_atom_site_fract_x
_atom_site_fract_y
_atom_site_fract_z
Ca1 Ca 0.0000 0.0000 0.1223
Ca2 Ca 0.0000 0.0000 0.3739
Cd1 Cd 0.0000 0.0000 0.2477
Cd2 Cd 0.0000 0.0000 0.5000
```